1.
BeTl2SiO4 | PBE-GGA | relaxed

Cell: 4.500 6.452 10.007 Å, 85.50 77.01 69.59°
Fractional coordinates of all 16 atoms:
Be: 0.750 0.500 0.500
Be: 0.000 0.000 0.000
Tl: 0.169 0.000 0.662
Tl: 0.831 0.000 0.338
Tl: 0.581 0.500 0.838
Tl: 0.919 0.500 0.162
Si: 0.250 0.500 0.500
Si: 0.500 0.000 0.000
O: 0.279 0.857 0.089
O: 0.225 0.143 0.911
O: 0.864 0.857 0.911
O: 0.633 0.143 0.089
O: 0.471 0.643 0.411
O: 0.525 0.357 0.589
O: 0.886 0.643 0.589
O: 0.117 0.357 0.411

Properties
Density (g/cm3): 6.38
Space-group type: Fddd, No. 70
Energy relative to the elements, uncorrected (eV/atom): -1.8885

***

2.
CaGaNO2 | PBE-GGA | relaxed

Cell: 4.464 4.464 4.742 Å, 90.00 90.00 90.00°
Last column: magnetic moment on the atom in μB.
Fractional coordinates of all 5 atoms:
Ca: 0.000 0.000 0.000  0.00
O: 0.000 0.500 0.000  0.74
O: 0.500 0.000 0.000  0.74
Ga: 0.500 0.500 0.500  0.05
N: 0.000 0.000 0.500  1.45

Properties
Density (g/cm3): 2.74
Space-group type: P4/mmm, No. 123
Energy relative to the elements, uncorrected (eV/atom): 0.2073

***

3.
Ca2Pr4Ho | PBE-GGA | relaxed

Cell: 3.609 5.963 12.469 Å, 103.85 98.32 90.00°
Fractional coordinates of all 7 atoms:
Pr: 0.080 0.580 0.159
Pr: 0.920 0.420 0.841
Pr: 0.370 0.870 0.740
Pr: 0.630 0.130 0.260
Ca: 0.279 0.279 0.557
Ca: 0.721 0.721 0.443
Ho: 0.000 0.000 0.000

Properties
Density (g/cm3): 5.21
Space-group type: Immm, No. 71
Polymorph energy (0 for the lowest one) (meV/atom): 0
Calculated formation energy (eV per atom): 0.111

***

4.
Ho3ZnPt | PBE-GGA | relaxed

Cell: 4.540 6.842 8.351 Å, 90.00 90.00 90.00°
Fractional coordinates of all 10 atoms:
Ho: 0.750 0.750 0.049
Ho: 0.250 0.250 0.951
Ho: 0.750 0.997 0.667
Ho: 0.750 0.503 0.667
Ho: 0.250 0.003 0.333
Ho: 0.250 0.497 0.333
Zn: 0.750 0.250 0.178
Zn: 0.250 0.750 0.822
Pt: 0.750 0.750 0.391
Pt: 0.250 0.250 0.609

Properties
Density (g/cm3): 9.67
Space-group type: Pmmn, No. 59
Polymorph energy (0 for the lowest one) (meV/atom): 45
Calculated formation energy (eV per atom): -0.594